First-principles (GGA-PBE) data for an optimized crystal structure of KPaTe3, as listed in Alexandria via LeMat-Bulk.

Values from the calculation:
Total moment   0.01 μB per atom
Electronic total energy   -4.898 eV/atom

a = 8.0032 Å, b = 8.0032 Å, c = 7.5308 Å
α = 90.00°, β = 90.00°, γ = 120.00°
Space group P6_3/mmc (No. 194)
One atom of each set of equivalent atoms:
K 0.3333 0.6667 0.2500 [2 per cell]
Pa 0.0000 0.0000 0.0000 [2 per cell]
Te 0.1706 0.3411 0.7500 [6 per cell]

---

First-principles (GGA-PBE) data for an optimized crystal structure of Sm2ThHg3, as listed in Alexandria via LeMat-Bulk.

Values from the calculation:
Total moment   0.17 μB per atom
ΔH_f (0 K)   -36.2 kJ/mol of atoms

a = 3.774 Å, b = 3.774 Å, c = 11.582 Å
α = 90.00°, β = 90.00°, γ = 90.00°
Space group P4/mmm (No. 123)
One atom of each set of equivalent atoms:
Sm 0.000 0.000 0.165 [2 per cell]
Th 0.000 0.000 0.500 [1 per cell]
Hg 0.500 0.500 0.000 [1 per cell]
Hg 0.500 0.500 0.326 [2 per cell]

---

First-principles (GGA-PBE) data for an optimized crystal structure of NiHg4Te, as listed in Alexandria via LeMat-Bulk.

Values from the calculation:
Total moment   0.16 μB per atom
Electronic total energy   -1.091 eV/atom

a = 8.405 Å, b = 8.405 Å, c = 8.405 Å
α = 90.00°, β = 90.00°, γ = 90.00°
Space group F-43m (No. 216)
One atom of each set of equivalent atoms:
Ni 0.000 0.000 0.000 [4 per cell]
Hg 0.125 0.125 0.375 [16 per cell]
Te 0.250 0.250 0.750 [4 per cell]

---

First-principles (GGA-PBE) data for an optimized crystal structure of TiCr3Os, as listed in Alexandria via LeMat-Bulk.

Values from the calculation:
Total moment   0.00 μB per atom
ΔH_f (0 K)   154.7 kJ/mol of atoms

a = 4.167 Å, b = 4.167 Å, c = 4.167 Å
α = 90.00°, β = 90.00°, γ = 90.00°
Space group Pm-3m (No. 221)
One atom of each set of equivalent atoms:
Ti 0.000 0.000 0.000 [1 per cell]
Cr 0.000 0.000 0.500 [3 per cell]
Os 0.500 0.500 0.500 [1 per cell]

---

First-principles (GGA-PBE) data for an optimized crystal structure of K2ZnSb, as listed in Alexandria via LeMat-Bulk.

Values from the calculation:
Total moment   0.00 μB per atom
Electronic total energy   -1.734 eV/atom

a = 5.000 Å, b = 5.000 Å, c = 23.018 Å
α = 90.00°, β = 90.00°, γ = 90.00°
Space group I-42d (No. 122)
One atom of each set of equivalent atoms:
K 0.239 0.250 0.125 [8 per cell]
Zn 0.000 0.000 0.000 [4 per cell]
Sb 0.000 0.000 0.500 [4 per cell]

---

First-principles (GGA-PBE) data for an optimized crystal structure of Tb2NdSm6Mg, as listed in Alexandria via LeMat-Bulk.

Values from the calculation:
Total moment   0.00 μB per atom
ΔH_f (0 K)   11.2 kJ/mol of atoms

a = 9.364 Å, b = 15.894 Å, c = 8.864 Å
α = 90.00°, β = 91.13°, γ = 90.00°
Space group C2/c (No. 15)
One atom of each set of equivalent atoms:
Tb 0.228 0.052 0.445 [8 per cell]
Nd 0.000 0.465 0.250 [4 per cell]
Sm 0.042 0.337 0.949 [8 per cell]
Sm 0.101 0.134 0.087 [8 per cell]
Sm 0.246 0.211 0.698 [8 per cell]
Mg 0.000 0.057 0.750 [4 per cell]

---

First-principles (GGA-PBE) data for an optimized crystal structure of NaTi2Se2, as listed in Alexandria via LeMat-Bulk.

Values from the calculation:
Total moment   0.00 μB per atom
Electronic total energy   -5.683 eV/atom

a = 3.954 Å, b = 3.954 Å, c = 13.428 Å
α = 90.00°, β = 90.00°, γ = 90.00°
Space group I4/mmm (No. 139)
One atom of each set of equivalent atoms:
Na 0.000 0.000 0.000 [2 per cell]
Ti 0.000 0.500 0.250 [4 per cell]
Se 0.000 0.000 0.375 [4 per cell]

---

First-principles (GGA-PBE) data for an optimized crystal structure of PuMnAg, as listed in Alexandria via LeMat-Bulk.

Values from the calculation:
Total moment   3.13 μB per atom
ΔH_f (0 K)   36.9 kJ/mol of atoms

a = 2.970 Å, b = 2.970 Å, c = 13.610 Å
α = 90.00°, β = 90.00°, γ = 90.00°
Space group I4mm (No. 107)
One atom of each set of equivalent atoms:
Pu 0.000 0.000 0.000 [2 per cell]
Mn 0.000 0.000 0.322 [2 per cell]
Ag 0.000 0.000 0.685 [2 per cell]

---

First-principles (GGA-PBE) data for an optimized crystal structure of Mg5TlCd4, as listed in Alexandria via LeMat-Bulk.

Values from the calculation:
Total moment   0.00 μB per atom
ΔH_f (0 K)   -7.9 kJ/mol of atoms

a = 3.609 Å, b = 3.609 Å, c = 17.083 Å
α = 90.00°, β = 90.00°, γ = 90.00°
Space group P4/mmm (No. 123)
One atom of each set of equivalent atoms:
Mg 0.000 0.000 0.000 [1 per cell]
Mg 0.000 0.000 0.194 [2 per cell]
Mg 0.000 0.000 0.390 [2 per cell]
Tl 0.500 0.500 0.500 [1 per cell]
Cd 0.500 0.500 0.097 [2 per cell]
Cd 0.500 0.500 0.291 [2 per cell]

---

First-principles (GGA-PBE) data for an optimized crystal structure of Fe3P, as listed in Alexandria via LeMat-Bulk.

Values from the calculation:
Total moment   0.96 μB per atom
ΔH_f (0 K)   0.3 kJ/mol of atoms

a = 2.6128 Å, b = 2.6128 Å, c = 22.3383 Å
α = 90.00°, β = 90.00°, γ = 120.00°
Space group R-3m (No. 166, hexagonal axes)
One atom of each set of equivalent atoms:
Fe 0.0000 0.0000 0.0000 [3 per cell]
Fe 0.0000 0.0000 0.2433 [6 per cell]
P 0.0000 0.0000 0.5000 [3 per cell]

---

First-principles (GGA-PBE) data for an optimized crystal structure of MnSbPd6, as listed in Alexandria via LeMat-Bulk.

Values from the calculation:
Total moment   0.59 μB per atom
Electronic total energy   -5.879 eV/atom

a = 5.622 Å, b = 5.622 Å, c = 4.011 Å
α = 90.00°, β = 90.00°, γ = 90.00°
Space group P4/mmm (No. 123)
One atom of each set of equivalent atoms:
Mn 0.000 0.000 0.000 [1 per cell]
Sb 0.500 0.500 0.000 [1 per cell]
Pd 0.000 0.500 0.000 [2 per cell]
Pd 0.247 0.247 0.500 [4 per cell]

---

First-principles (GGA-PBE) data for an optimized crystal structure of SbAsI2O, as listed in Alexandria via LeMat-Bulk.

Values from the calculation:
Total moment   0.34 μB per atom
Electronic total energy   -3.202 eV/atom

a = 6.133 Å, b = 6.133 Å, c = 4.058 Å
α = 90.00°, β = 90.00°, γ = 90.00°
Space group P4/mmm (No. 123)
One atom of each set of equivalent atoms:
Sb 0.000 0.000 0.000 [1 per cell]
As 0.500 0.500 0.500 [1 per cell]
I 0.000 0.500 0.000 [2 per cell]
O 0.000 0.000 0.500 [1 per cell]